a:
This record from Alexandria describes a geometry-optimized LiLa2Zr structure. The functional is GGA-PBE.

It has space group Pm (No. 6), with a = 3.3988 Å, b = 5.3658 Å, c = 6.5328 Å, α = 90.00°, β = 104.99° and γ = 90.00°. The asymmetric unit holds Li at (0.0000, 0.0000, 0.0000), La at (0.4053, 0.5000, 0.8078), La at (0.7205, 0.0000, 0.4412) and Zr at (0.1313, 0.5000, 0.2627).

For the theoretical density, the calculation gives 5425 kg/m³.

b:
This record from Alexandria describes a geometry-optimized LiLa2Zr structure. The functional is GGA-PBE.

It has space group I-4m2 (No. 119), with a = 4.6993 Å, b = 4.6993 Å, c = 10.1344 Å, α = 90.00°, β = 90.00° and γ = 90.00°. The asymmetric unit holds Li at (0.0000, 0.0000, 0.0000), La at (0.0000, 0.0000, 0.5000), La at (0.0000, 0.5000, 0.2500) and Zr at (0.0000, 0.5000, 0.7500).

For the theoretical density, the calculation gives 5579 kg/m³.

Computed relative energies in units of kJ/mol of atoms: a 0.0; b 7.2